No. 1
Material: Tb6Ho3Tm2Tl
Method: DFT, PBE
State: optimized geometry

abc: 6.098 6.098 11.585
angles: 95.08 95.08 120.08
Sites, in units of the cell vectors:
Ho: 0.500 0.500 0.500
Ho: 0.833 0.167 0.500
Ho: 0.167 0.833 0.500
Tm: 0.334 0.666 0.000
Tm: 0.666 0.334 0.000
Tb: 0.919 0.588 0.753
Tb: 0.248 0.248 0.751
Tb: 0.752 0.752 0.249
Tb: 0.588 0.919 0.753
Tb: 0.081 0.412 0.247
Tb: 0.412 0.081 0.247
Tl: 0.000 0.000 0.000

Size of the total moment (μB per atom): 0.000
Calculated volume (Å³/cell): 366.8
Calculated density (Mg/m³): 9.01
Energy relative to the elements (eV per atom): -0.009

---

No. 2
Material: Tb2HoTmTl2
Method: DFT, PBE
State: optimized geometry

abc: 5.079 6.811 9.946
angles: 90.00 90.00 90.00
Sites, in units of the cell vectors:
Ho: 0.000 0.461 0.542
Ho: 0.000 0.961 0.458
Tb: 0.000 0.335 0.187
Tb: 0.500 0.553 0.957
Tb: 0.500 0.053 0.043
Tb: 0.000 0.835 0.813
Tm: 0.500 0.178 0.687
Tm: 0.500 0.678 0.313
Tl: 0.500 0.218 0.370
Tl: 0.000 0.800 0.138
Tl: 0.500 0.718 0.630
Tl: 0.000 0.300 0.862

Size of the total moment (μB per atom): 0.000
Calculated volume (Å³/cell): 344.0
Calculated density (Mg/m³): 10.24
Energy relative to the elements (eV per atom): -0.266

---

No. 3
Material: TbYHoTl
Method: DFT, PBE
State: optimized geometry

abc: 4.850 4.885 4.834
angles: 90.00 90.00 90.00
Sites, in units of the cell vectors:
Tb: 0.500 0.000 0.500
Ho: 0.000 0.000 0.000
Y: 0.500 0.500 0.000
Tl: 0.000 0.500 0.500

Size of the total moment (μB per atom): 0.248
Calculated volume (Å³/cell): 114.5
Calculated density (Mg/m³): 8.95
Energy relative to the elements (eV per atom): -0.184

---

No. 4
Material: TbY2HoTl2
Method: DFT, PBE
State: optimized geometry

abc: 5.089 6.858 9.971
angles: 90.00 90.00 90.00
Sites, in units of the cell vectors:
Tl: 0.000 0.798 0.133
Tl: 0.500 0.717 0.632
Tl: 0.500 0.217 0.368
Tl: 0.000 0.298 0.867
Y: 0.500 0.054 0.045
Y: 0.500 0.554 0.955
Y: 0.000 0.838 0.812
Y: 0.000 0.338 0.188
Ho: 0.500 0.678 0.312
Ho: 0.500 0.178 0.688
Tb: 0.000 0.460 0.544
Tb: 0.000 0.960 0.456

Size of the total moment (μB per atom): 0.000
Calculated volume (Å³/cell): 348.0
Calculated density (Mg/m³): 8.69
Energy relative to the elements (eV per atom): -0.288

---

No. 5
Material: Tb2YHoTl2
Method: DFT, PBE
State: optimized geometry

abc: 5.096 6.857 9.970
angles: 90.00 90.00 90.00
Sites, in units of the cell vectors:
Tl: 0.500 0.218 0.369
Tl: 0.500 0.718 0.631
Tl: 0.000 0.299 0.865
Tl: 0.000 0.799 0.135
Y: 0.000 0.460 0.544
Y: 0.000 0.960 0.456
Tb: 0.000 0.336 0.187
Tb: 0.500 0.554 0.956
Tb: 0.500 0.054 0.044
Tb: 0.000 0.836 0.813
Ho: 0.500 0.177 0.688
Ho: 0.500 0.677 0.312

Size of the total moment (μB per atom): 0.000
Calculated volume (Å³/cell): 348.4
Calculated density (Mg/m³): 9.35
Energy relative to the elements (eV per atom): -0.279

---

No. 6
Material: TbYHoTl
Method: DFT, PBE
State: optimized geometry

abc: 5.472 5.472 5.472
angles: 60.00 60.00 60.00
Sites, in units of the cell vectors:
Ho: 0.750 0.750 0.750
Tb: 0.500 0.500 0.500
Y: 0.000 0.000 0.000
Tl: 0.250 0.250 0.250

Size of the total moment (μB per atom): 0.375
Calculated volume (Å³/cell): 115.9
Calculated density (Mg/m³): 8.84
Energy relative to the elements (eV per atom): -0.041

---

No. 7
Material: TbYHo2Tl2
Method: DFT, PBE
State: optimized geometry

abc: 5.093 6.794 9.984
angles: 90.00 90.00 90.00
Sites, in units of the cell vectors:
Tl: 0.000 0.798 0.133
Tl: 0.500 0.217 0.365
Tl: 0.000 0.298 0.867
Tl: 0.500 0.717 0.635
Y: 0.500 0.682 0.312
Y: 0.500 0.182 0.688
Tb: 0.000 0.963 0.459
Tb: 0.000 0.463 0.541
Ho: 0.000 0.333 0.186
Ho: 0.500 0.052 0.042
Ho: 0.000 0.833 0.814
Ho: 0.500 0.552 0.958

Size of the total moment (μB per atom): 0.000
Calculated volume (Å³/cell): 345.5
Calculated density (Mg/m³): 9.48
Energy relative to the elements (eV per atom): -0.277

---

No. 8
Material: TbHoTlZn
Method: DFT, PBE
State: optimized geometry

abc: 5.225 5.225 5.225
angles: 60.00 60.00 60.00
Sites, in units of the cell vectors:
Ho: 0.750 0.750 0.750
Tb: 0.250 0.250 0.250
Zn: 0.000 0.000 0.000
Tl: 0.500 0.500 0.500

Size of the total moment (μB per atom): 0.000
Calculated volume (Å³/cell): 100.8
Calculated density (Mg/m³): 9.77
Energy relative to the elements (eV per atom): -0.325

---

No. 9
Material: TbHo2Tl2Zn2
Method: DFT, PBE
State: optimized geometry

abc: 4.756 4.756 9.348
angles: 75.26 75.26 60.00
Sites, in units of the cell vectors:
Zn: 0.418 0.418 0.746
Zn: 0.582 0.582 0.254
Ho: 0.129 0.129 0.612
Ho: 0.871 0.871 0.388
Tl: 0.733 0.733 0.800
Tl: 0.267 0.267 0.200
Tb: 0.000 0.000 0.000

Size of the total moment (μB per atom): 0.000
Calculated volume (Å³/cell): 175.0
Calculated density (Mg/m³): 9.76
Energy relative to the elements (eV per atom): -0.145

---

No. 10
Material: TbHoTlZn
Method: DFT, PBE
State: optimized geometry

abc: 3.665 3.665 7.426
angles: 90.00 90.00 90.00
Sites, in units of the cell vectors:
Tl: 0.500 0.500 0.110
Ho: 0.000 0.000 0.379
Zn: 0.500 0.500 0.603
Tb: 0.000 0.000 0.836

Size of the total moment (μB per atom): 0.000
Calculated volume (Å³/cell): 99.7
Calculated density (Mg/m³): 9.88
Energy relative to the elements (eV per atom): -0.351

---

No. 11
Material: Tb2Ho4Tm3
Method: DFT, PBE
State: optimized geometry

abc: 6.087 11.114 11.114
angles: 62.21 61.58 61.58
Sites, in units of the cell vectors:
Ho: 0.080 0.811 0.096
Ho: 0.419 0.572 0.856
Ho: 0.919 0.856 0.572
Ho: 0.920 0.189 0.904
Ho: 0.420 0.904 0.189
Ho: 0.081 0.144 0.428
Ho: 0.580 0.096 0.811
Ho: 0.581 0.428 0.144
Tb: 0.420 0.236 0.523
Tb: 0.080 0.477 0.764
Tb: 0.580 0.764 0.477
Tb: 0.920 0.523 0.236
Tm: 0.254 0.263 0.069
Tm: 0.246 0.931 0.737
Tm: 0.754 0.069 0.263
Tm: 0.750 0.403 0.597
Tm: 0.250 0.597 0.403
Tm: 0.746 0.737 0.931

Size of the total moment (μB per atom): 0.000
Calculated volume (Å³/cell): 553.0
Calculated density (Mg/m³): 8.92
Energy relative to the elements (eV per atom): 0.099